[1]
Density functional theory data (PBE) for an optimized crystal structure of ScTaPb2O6.

Values from the calculation:
**Relative energy among the computed polymorphs**: 6 kJ/mol of formula units
**SG**: I4/m (87)
**Total magnetic moment**: 0.00 μB per formula unit

Lattice parameters (Å, degrees): 5.756 5.756 5.756 120.52 120.52 89.10
Sites, in units of the cell vectors:
Ta (0.500, 0.500, 0.000)
O (0.212, 0.301, 0.513)
O (0.301, 0.788, 0.089)
O (0.699, 0.212, 0.911)
O (0.744, 0.744, 0.000)
O (0.788, 0.699, 0.487)
O (0.256, 0.256, 0.000)
Pb (0.250, 0.750, 0.500)
Pb (0.750, 0.250, 0.500)
Sc (0.000, 0.000, 0.000)

---

[2]
Density functional theory data (PBE) for an optimized crystal structure of TbPb2SeO6.

Values from the calculation:
**Raw total energy**: -5.968 eV per atom
**SG**: P2_1/c (14)
**Total magnetic moment**: 0.02 μB per formula unit

Lattice parameters (Å, degrees): 5.891 5.751 9.970 90.00 125.16 90.00
Sites, in units of the cell vectors:
Pb (0.768, 0.993, 0.756)
Pb (0.232, 0.007, 0.244)
Pb (0.768, 0.507, 0.256)
Pb (0.232, 0.493, 0.744)
O (0.800, 0.280, 0.045)
O (0.800, 0.220, 0.545)
O (0.200, 0.720, 0.955)
O (0.698, 0.001, 0.269)
O (0.173, 0.255, 0.462)
O (0.827, 0.755, 0.038)
O (0.302, 0.501, 0.231)
O (0.302, 0.999, 0.731)
O (0.827, 0.745, 0.538)
O (0.698, 0.499, 0.769)
O (0.200, 0.780, 0.455)
O (0.173, 0.245, 0.962)
Se (0.000, 0.000, 0.500)
Se (0.000, 0.500, 0.000)
Tb (0.500, 0.500, 0.500)
Tb (0.500, 0.000, 0.000)

---

[3]
Density functional theory data (PBE) for an optimized crystal structure of ZnPbSeO.

Values from the calculation:
**Relative energy among the computed polymorphs**: 33 kJ/mol of formula units
**SG**: P4/nmm (129)

Lattice parameters (Å, degrees): 4.059 4.059 11.312 90.00 90.00 90.00
Sites, in units of the cell vectors:
Se (0.500, 0.000, 0.366)
Se (0.000, 0.500, 0.634)
Pb (0.500, 0.000, 0.895)
Pb (0.000, 0.500, 0.105)
Zn (0.500, 0.500, 0.500)
Zn (0.000, 0.000, 0.500)
O (0.500, 0.500, 0.000)
O (0.000, 0.000, 0.000)

---

[4]
Density functional theory data (PBE) for an optimized crystal structure of ZnPbSeO.

Values from the calculation:
**Relative energy among the computed polymorphs**: 75 kJ/mol of formula units
**SG**: P4/nmm (129)

Lattice parameters (Å, degrees): 3.785 3.785 11.593 90.00 90.00 90.00
Sites, in units of the cell vectors:
Pb (0.250, 0.250, 0.612)
Pb (0.750, 0.750, 0.388)
Zn (0.750, 0.250, 0.000)
Zn (0.250, 0.750, 0.000)
Se (0.250, 0.250, 0.140)
Se (0.750, 0.750, 0.860)
O (0.250, 0.250, 0.422)
O (0.750, 0.750, 0.578)

---

[5]
Density functional theory data (PBE) for an optimized crystal structure of ZnPbSeO.

Values from the calculation:
**Relative energy among the computed polymorphs**: 311 kJ/mol of formula units
**SG**: P4/nmm (129)

Lattice parameters (Å, degrees): 4.707 4.707 7.903 90.00 90.00 90.00
Sites, in units of the cell vectors:
Pb (0.750, 0.250, 0.000)
Pb (0.250, 0.750, 0.000)
O (0.750, 0.750, 0.492)
O (0.250, 0.250, 0.508)
Zn (0.750, 0.750, 0.257)
Zn (0.250, 0.250, 0.743)
Se (0.250, 0.250, 0.287)
Se (0.750, 0.750, 0.713)

---

[6]
Density functional theory data (PBE) for an optimized crystal structure of ZnPbSeO.

Values from the calculation:
**Relative energy among the computed polymorphs**: 16 kJ/mol of formula units
**SG**: P2_12_12_1 (19)

Lattice parameters (Å, degrees): 6.117 7.198 7.648 90.00 90.00 90.00
Sites, in units of the cell vectors:
Zn (0.814, 0.930, 0.650)
Zn (0.314, 0.070, 0.850)
Zn (0.186, 0.570, 0.150)
Zn (0.686, 0.430, 0.350)
Se (0.638, 0.086, 0.392)
Se (0.862, 0.586, 0.608)
Se (0.362, 0.414, 0.892)
Se (0.138, 0.914, 0.108)
Pb (0.329, 0.693, 0.599)
Pb (0.829, 0.307, 0.901)
Pb (0.171, 0.193, 0.401)
Pb (0.671, 0.807, 0.099)
O (0.879, 0.485, 0.151)
O (0.121, 0.015, 0.651)
O (0.621, 0.985, 0.849)
O (0.379, 0.515, 0.349)

---

[7]
Density functional theory data (PBE) for an optimized crystal structure of ZnPbSeO.

Values from the calculation:
**Relative energy among the computed polymorphs**: 0 kJ/mol of formula units
**SG**: Pbca (61)

Lattice parameters (Å, degrees): 5.964 18.325 6.149 90.00 90.00 90.00
Sites, in units of the cell vectors:
Se (0.239, 0.088, 0.996)
Se (0.261, 0.588, 0.996)
Se (0.739, 0.088, 0.504)
Se (0.761, 0.588, 0.504)
Se (0.239, 0.412, 0.496)
Se (0.761, 0.912, 0.004)
Se (0.261, 0.912, 0.496)
Se (0.739, 0.412, 0.004)
O (0.805, 0.282, 0.602)
O (0.195, 0.718, 0.398)
O (0.695, 0.782, 0.602)
O (0.805, 0.218, 0.102)
O (0.695, 0.718, 0.102)
O (0.305, 0.282, 0.898)
O (0.195, 0.782, 0.898)
O (0.305, 0.218, 0.398)
Pb (0.755, 0.588, 0.004)
Pb (0.755, 0.912, 0.504)
Pb (0.245, 0.088, 0.496)
Pb (0.255, 0.588, 0.496)
Pb (0.745, 0.412, 0.504)
Pb (0.255, 0.912, 0.996)
Pb (0.745, 0.088, 0.004)
Pb (0.245, 0.412, 0.996)
Zn (0.147, 0.282, 0.608)
Zn (0.647, 0.218, 0.392)
Zn (0.853, 0.782, 0.892)
Zn (0.853, 0.718, 0.392)
Zn (0.147, 0.218, 0.108)
Zn (0.353, 0.718, 0.108)
Zn (0.353, 0.782, 0.608)
Zn (0.647, 0.282, 0.892)

---

[8]
Density functional theory data (PBE) for an optimized crystal structure of ZnPbSeO.

Values from the calculation:
**Relative energy among the computed polymorphs**: 2 kJ/mol of formula units
**SG**: P6_3mc (186)

Lattice parameters (Å, degrees): 3.950 3.950 12.440 90.00 90.00 120.00
Sites, in units of the cell vectors:
Pb (0.667, 0.333, 0.772)
Pb (0.333, 0.667, 0.272)
Zn (0.000, 0.000, 0.998)
Zn (0.000, 0.000, 0.498)
O (0.000, 0.000, 0.341)
O (0.000, 0.000, 0.841)
Se (0.667, 0.333, 0.076)
Se (0.333, 0.667, 0.576)

---

[9]
Density functional theory data (PBE) for an optimized crystal structure of ZnPbSeO.

Values from the calculation:
**Relative energy among the computed polymorphs**: 44 kJ/mol of formula units
**SG**: Cmcm (63)

Lattice parameters (Å, degrees): 3.968 5.974 6.769 90.00 72.96 90.00
Sites, in units of the cell vectors:
Se (0.707, 0.750, 0.586)
Se (0.293, 0.250, 0.414)
O (0.000, 0.000, 0.000)
O (0.000, 0.500, 0.000)
Pb (0.602, 0.250, 0.795)
Pb (0.398, 0.750, 0.205)
Zn (0.900, 0.250, 0.199)
Zn (0.100, 0.750, 0.801)

---

[10]
Density functional theory data (PBE) for an optimized crystal structure of ZnPbSeO.

Values from the calculation:
**Relative energy among the computed polymorphs**: 22 kJ/mol of formula units
**SG**: Pca2_1 (29)

Lattice parameters (Å, degrees): 7.275 7.269 6.550 90.00 90.00 90.00
Sites, in units of the cell vectors:
O (0.489, 0.894, 0.121)
O (0.011, 0.894, 0.621)
O (0.989, 0.106, 0.121)
O (0.511, 0.106, 0.621)
Pb (0.144, 0.119, 0.436)
Pb (0.644, 0.881, 0.436)
Pb (0.356, 0.119, 0.936)
Pb (0.856, 0.881, 0.936)
Se (0.588, 0.385, 0.158)
Se (0.088, 0.615, 0.158)
Se (0.912, 0.385, 0.658)
Se (0.412, 0.615, 0.658)
Zn (0.592, 0.349, 0.535)
Zn (0.092, 0.651, 0.535)
Zn (0.408, 0.651, 0.035)
Zn (0.908, 0.349, 0.035)

---

[11]
Density functional theory data (PBE) for an optimized crystal structure of ZnPbSeO.

Values from the calculation:
**Relative energy among the computed polymorphs**: 2 kJ/mol of formula units
**SG**: Pnma (62)

Lattice parameters (Å, degrees): 6.081 3.987 13.949 90.00 90.00 90.00
Sites, in units of the cell vectors:
Pb (0.253, 0.250, 0.584)
Pb (0.747, 0.750, 0.416)
Pb (0.247, 0.750, 0.084)
Pb (0.753, 0.250, 0.916)
O (0.297, 0.250, 0.182)
O (0.703, 0.750, 0.818)
O (0.203, 0.750, 0.682)
O (0.797, 0.250, 0.318)
Zn (0.625, 0.250, 0.200)
Zn (0.125, 0.250, 0.300)
Zn (0.375, 0.750, 0.800)
Zn (0.875, 0.750, 0.700)
Se (0.255, 0.250, 0.896)
Se (0.745, 0.750, 0.104)
Se (0.245, 0.750, 0.396)
Se (0.755, 0.250, 0.604)

---

[12]
Density functional theory data (PBE) for an optimized crystal structure of ZnPbSeO.

Values from the calculation:
**Relative energy among the computed polymorphs**: 135 kJ/mol of formula units
**SG**: P4/nmm (129)

Lattice parameters (Å, degrees): 4.864 4.864 7.372 90.00 90.00 90.00
Sites, in units of the cell vectors:
Zn (0.250, 0.250, 0.629)
Zn (0.750, 0.750, 0.371)
O (0.750, 0.750, 0.113)
O (0.250, 0.250, 0.887)
Se (0.750, 0.250, 0.500)
Se (0.250, 0.750, 0.500)
Pb (0.250, 0.250, 0.174)
Pb (0.750, 0.750, 0.826)

---

Please write out number 3 again, unchanged.
Density functional theory data (PBE) for an optimized crystal structure of ZnPbSeO.

Values from the calculation:
**Relative energy among the computed polymorphs**: 33 kJ/mol of formula units
**SG**: P4/nmm (129)

Lattice parameters (Å, degrees): 4.059 4.059 11.312 90.00 90.00 90.00
Sites, in units of the cell vectors:
Se (0.500, 0.000, 0.366)
Se (0.000, 0.500, 0.634)
Pb (0.500, 0.000, 0.895)
Pb (0.000, 0.500, 0.105)
Zn (0.500, 0.500, 0.500)
Zn (0.000, 0.000, 0.500)
O (0.500, 0.500, 0.000)
O (0.000, 0.000, 0.000)

---

- What is the formula in the eleventh record?
  ZnPbSeO